Entry 1:
The following is a DFT calculation (PBE) of an optimized crystal structure of Te2Au2Se.

abc: 8.1910 8.1910 8.1910
angles: 151.94 151.94 40.11
With the nearest neighbours (Å) after each atom.
Fractional coordinates of all 5 atoms:
Te 0.1110 0.1110 0.0000  4 Au 2.92
Te 0.8890 0.8890 0.0000  4 Au 2.92
Au 0.2500 0.7500 0.5000  4 Au 2.81, 4 Te 2.92
Au 0.7500 0.2500 0.5000  4 Au 2.81, 4 Te 2.92
Se 0.5000 0.5000 0.0000  8 Te 3.29

Computed properties:
V   24.28 A^3/atom

***

Entry 2:
The following is a DFT calculation (PBE) of an optimized crystal structure of Ca5PaP4.

abc: 9.0448 9.0448 8.0650
angles: 102.43 102.43 26.32
With the nearest neighbours (Å) after each atom.
Fractional coordinates of all 10 atoms:
Ca 0.0000 0.0000 0.0000  4 P 2.95
Ca 0.3298 0.3298 0.6550  4 P 2.84-2.92
Ca 0.3336 0.3336 0.1740  3 P 2.83-2.88
Ca 0.6664 0.6664 0.8260  3 P 2.83-2.88
Ca 0.6702 0.6702 0.3450  4 P 2.84-2.92
Pa 0.0000 0.0000 0.5000  6 P 2.75-2.82
P 0.1601 0.1601 0.5825  1 Pa 2.75, 5 Ca 2.83-2.92
P 0.4989 0.4989 0.7382  2 Pa 2.82, 4 Ca 2.88-2.95
P 0.5011 0.5011 0.2618  2 Pa 2.82, 4 Ca 2.88-2.95
P 0.8399 0.8399 0.4175  1 Pa 2.75, 5 Ca 2.83-2.92

Computed properties:
ΔH_f (0 K)   -10.23 eV/f.u.
V   28.53 A^3/atom

***

Entry 3:
The following is a DFT calculation (PBE) of an optimized crystal structure of ReTcSb2.

abc: 4.7381 4.7381 4.7381
angles: 60.00 60.00 60.00
With the nearest neighbours (Å) after each atom.
Fractional coordinates of all 4 atoms:
Re 0.0000 0.0000 0.0000  4 Sb 2.90, 4 Tc 2.90
Tc 0.7500 0.7500 0.7500  4 Sb 2.90, 4 Re 2.90
Sb 0.2500 0.2500 0.2500  4 Sb 2.90, 4 Re 2.90
Sb 0.5000 0.5000 0.5000  4 Tc 2.90, 4 Sb 2.90

Computed properties:
V   18.80 A^3/atom

***

Number 1: E_tot -3.062 eV per atom. Number 2: E_tot -5.137 eV per atom. Number 3: E_tot -6.868 eV per atom.